Entry 1:
{
  "formula": "LiY2MgH",
  "functional": "PBE-GGA",
  "state": "optimized geometry",
  "cell": [[5.1200, 0.0000, 0.0000], [0.0000, 5.1200, 0.0000], [0.0000, 0.0000, 3.9134]],
  "species": ["Li", "Y", "Y", "Mg", "H"],
  "frac_coords": [[0.0000, 0.0000, 0.0000], [0.0000, 0.5000, 0.5000], [0.5000, 0.0000, 0.5000], [0.5000, 0.5000, 0.0000], [0.0000, 0.0000, 0.5000]],
  "relative_energy_ev_per_atom": 0.0000,
  "dos_at_fermi_per_ev_fu": 4.55,
  "total_magnetization_mub_per_fu": 0.4
}

***

Entry 2:
{
  "formula": "Pr3As",
  "functional": "PBE-GGA",
  "state": "optimized geometry",
  "cell": [[4.1676, 0.0000, 0.0000], [0.0000, 4.1717, 0.0000], [0.0000, 0.0000, 7.8862]],
  "species": ["Pr", "Pr", "Pr", "As"],
  "frac_coords": [[0.0000, 0.0000, 0.0000], [0.0000, 0.5000, 0.3496], [0.5000, 0.5000, 0.7004], [0.5000, 0.0000, 0.3520]],
  "formation_energy_ev_per_fu": -1.65,
  "relative_energy_ev_per_atom": 0.1762,
  "dos_at_fermi_per_ev_fu": 4.04,
  "total_magnetization_mub_per_fu": 0.0
}

***

Entry 3:
{
  "formula": "Tb2Pr5Tm2",
  "functional": "PBE-GGA",
  "state": "optimized geometry",
  "cell": [[-7.6158, 6.4821, 3.1250], [7.6158, -6.4821, 3.1250], [7.6158, 6.4821, -3.1250]],
  "species": ["Tb", "Tb", "Tb", "Tb", "Pr", "Pr", "Pr", "Pr", "Pr", "Pr", "Pr", "Pr", "Pr", "Pr", "Tm", "Tm", "Tm", "Tm"],
  "frac_coords": [[0.0000, 0.0000, 0.0000], [0.0000, 0.5000, 0.5000], [0.8041, 0.6114, 0.6928], [0.9186, 0.1114, 0.3072], [0.1144, 0.5742, 0.8279], [0.1144, 0.7865, 0.0402], [0.1638, 0.0880, 0.5758], [0.3853, 0.1314, 0.3516], [0.3853, 0.5337, 0.7539], [0.5122, 0.5880, 0.4242], [0.7463, 0.0742, 0.9598], [0.7463, 0.2865, 0.1721], [0.7798, 0.0337, 0.6484], [0.7798, 0.6314, 0.2461], [0.3832, 0.5700, 0.0855], [0.3832, 0.7978, 0.3133], [0.4845, 0.0700, 0.6867], [0.4845, 0.2978, 0.9145]],
  "formation_energy_ev_per_fu": 1.52,
  "relative_energy_ev_per_atom": 0.1484,
  "dos_at_fermi_per_ev_fu": 11.73,
  "total_magnetization_mub_per_fu": 0.0
}

***

Entry 4:
{
  "formula": "PrTmScTe3",
  "functional": "PBE-GGA",
  "state": "optimized geometry",
  "cell": [[8.7495, 0.0000, 0.0000], [0.0000, 4.3080, 0.0000], [-2.5412, 0.0000, 9.6009]],
  "species": ["Pr", "Pr", "Tm", "Tm", "Sc", "Sc", "Te", "Te", "Te", "Te", "Te", "Te"],
  "frac_coords": [[0.1798, 0.2500, 0.2387], [0.8202, 0.7500, 0.7613], [0.3275, 0.7500, 0.8327], [0.6725, 0.2500, 0.1673], [0.0888, 0.2500, 0.5935], [0.9112, 0.7500, 0.4065], [0.0986, 0.2500, 0.8864], [0.2671, 0.7500, 0.5026], [0.4240, 0.7500, 0.1572], [0.5760, 0.2500, 0.8428], [0.7329, 0.2500, 0.4974], [0.9014, 0.7500, 0.1136]],
  "dos_at_fermi_per_ev_fu": 3.19,
  "total_magnetization_mub_per_fu": 1.2,
  "formation_energy_uncorrected_ev_per_atom": -1.1881
}